(1)
# VHgSeS (PBE, relaxed)
data_VHgSeS
_chemical_formula_sum 'V1 Hg1 Se1 S1'
_space_group_name_H-M_alt 'P 1'
_space_group_IT_number 1
_space_group_name_Hall 'P 1'
_cell_length_a 3.2368
_cell_length_b 3.2471
_cell_length_c 9.8477
_cell_angle_alpha 94.71
_cell_angle_beta 94.13
_cell_angle_gamma 119.30
loop_
_atom_site_label
_atom_site_type_symbol
_atom_site_fract_x
_atom_site_fract_y
_atom_site_fract_z
_atom_site_occupancy
V1 V 0.0000 0.0000 0.0000 1
Hg1 Hg 0.4638 0.9976 0.4719 1
Se1 Se 0.5900 0.2550 0.8303 1
S1 S 0.7320 0.4035 0.1467 1
# - M_tot: 0.8 μB per formula unit
# - Raw formation energy: -230 kJ/mol of formula units

=====

(2)
# KSrV (PBE, relaxed)
data_KSrV
_chemical_formula_sum 'K2 Sr2 V2'
_space_group_name_H-M_alt 'P 4/n m m'
_space_group_IT_number 129
_cell_length_a 5.4114
_cell_length_b 5.4114
_cell_length_c 9.4076
_cell_angle_alpha 90.00
_cell_angle_beta 90.00
_cell_angle_gamma 90.00
loop_
_space_group_symop_operation_xyz
'x,y,z'
'-x,-y,-z'
'-y+1/2,x,z'
'y+1/2,-x,-z'
'-x+1/2,-y+1/2,z'
'x+1/2,y+1/2,-z'
'y,-x+1/2,z'
'-y,x+1/2,-z'
'x+1/2,-y,-z'
'-x+1/2,y,z'
'-y,-x,-z'
'y,x,z'
'-x,y+1/2,-z'
'x,-y+1/2,z'
'y+1/2,x+1/2,-z'
'-y+1/2,-x+1/2,z'
loop_
_atom_site_label
_atom_site_type_symbol
_atom_site_fract_x
_atom_site_fract_y
_atom_site_fract_z
_atom_site_occupancy
K1 K 0.2500 0.2500 0.1357 1
Sr1 Sr 0.2500 0.7500 0.5000 1
V1 V 0.2500 0.2500 0.7264 1
# - M_tot: 4.9 μB per formula unit
# - Energy above the lowest structure with this stoichiometry: 518.5 meV per atom

=====

(3)
# YAl2GaHg (PBE, relaxed)
data_YAl2GaHg
_chemical_formula_sum 'Y1 Al2 Ga1 Hg1'
_space_group_name_H-M_alt 'P 4/m m m'
_space_group_IT_number 123
_space_group_name_Hall '-P 4 2'
_cell_length_a 4.8536
_cell_length_b 4.8536
_cell_length_c 5.2430
_cell_angle_alpha 90.00
_cell_angle_beta 90.00
_cell_angle_gamma 90.00
loop_
_atom_site_label
_atom_site_type_symbol
_atom_site_fract_x
_atom_site_fract_y
_atom_site_fract_z
_atom_site_occupancy
Y1 Y 0.0000 0.0000 0.0000 1
Al1 Al 0.0000 0.5000 0.5000 1
Ga1 Ga 0.5000 0.5000 0.5000 1
Hg1 Hg 0.5000 0.5000 0.0000 1
# - M_tot: 0.0 μB per formula unit
# - VASP energy: -3.202 eV/atom

=====

(4)
# NbZnH2S (PBE, relaxed)
data_NbZnH2S
_chemical_formula_sum 'Nb1 Zn1 H2 S1'
_space_group_name_H-M_alt 'P 4/m m m'
_space_group_IT_number 123
_space_group_name_Hall '-P 4 2'
_cell_length_a 3.6041
_cell_length_b 3.6041
_cell_length_c 6.1414
_cell_angle_alpha 90.00
_cell_angle_beta 90.00
_cell_angle_gamma 90.00
loop_
_atom_site_label
_atom_site_type_symbol
_atom_site_fract_x
_atom_site_fract_y
_atom_site_fract_z
_atom_site_occupancy
Nb1 Nb 0.0000 0.0000 0.0000 1
Zn1 Zn 0.5000 0.5000 0.0000 1
H1 H 0.0000 0.5000 0.5000 1
S1 S 0.5000 0.5000 0.5000 1
# - M_tot: 2.6 μB per formula unit
# - VASP energy: -3.426 eV/atom

=====

What did the first record say?
# VHgSeS (PBE, relaxed)
data_VHgSeS
_chemical_formula_sum 'V1 Hg1 Se1 S1'
_space_group_name_H-M_alt 'P 1'
_space_group_IT_number 1
_space_group_name_Hall 'P 1'
_cell_length_a 3.2368
_cell_length_b 3.2471
_cell_length_c 9.8477
_cell_angle_alpha 94.71
_cell_angle_beta 94.13
_cell_angle_gamma 119.30
loop_
_atom_site_label
_atom_site_type_symbol
_atom_site_fract_x
_atom_site_fract_y
_atom_site_fract_z
_atom_site_occupancy
V1 V 0.0000 0.0000 0.0000 1
Hg1 Hg 0.4638 0.9976 0.4719 1
Se1 Se 0.5900 0.2550 0.8303 1
S1 S 0.7320 0.4035 0.1467 1
# - M_tot: 0.8 μB per formula unit
# - Raw formation energy: -230 kJ/mol of formula units

=====

Question: M_tot of number 3 (YAl2GaHg)?
Answer: 0.0 μB per formula unit

=====

Question: Among the records above, which one has the lowest M_tot?
Answer: YAl2GaHg